(1)
{"formula": "Sc3AlCd", "functional": "SCAN", "state": "single point on PBEsol structure", "mass_density_kg_m3": 3324, "total_energy_ev_per_atom": -15.709, "formation_energy_ev_per_atom": 0.467, "m_tot_mub_per_cell": 0.000, "lattice": [[-5.0037, 1.1733, -0.4061], [-1.2369, -4.8573, 1.2063], [-0.1080, 1.2682, 4.9959]], "species": ["Sc", "Sc", "Sc", "Al", "Cd"], "fractional_positions": [[0.0000, 0.5000, 0.0000], [0.0000, 0.0000, 0.5000], [0.5000, 0.0000, 0.0000], [0.5000, 0.5000, 0.5000], [0.0000, 0.0000, 0.0000]]}


(2)
{"formula": "ScAlCd2", "functional": "SCAN", "state": "single point on PBEsol structure", "mass_density_kg_m3": 6343, "total_energy_ev_per_atom": -20.880, "formation_energy_ev_per_atom": -0.175, "m_tot_mub_per_cell": 0.000, "lattice": [[-2.4727, 3.9965, -0.9230], [-2.7274, 1.9696, 3.4088], [1.3063, 4.1436, 2.0156]], "species": ["Sc", "Al", "Cd", "Cd"], "fractional_positions": [[0.2500, 0.2500, 0.2500], [0.5000, 0.5000, 0.5000], [0.0000, 0.0000, 0.0000], [0.7500, 0.7500, 0.7500]]}


(3)
{"formula": "Sc2AlCd", "functional": "SCAN", "state": "single point on PBEsol structure", "e_above_lowest_polymorph_ev_per_atom": 0.196, "mass_density_kg_m3": 4505, "total_energy_ev_per_atom": -16.894, "formation_energy_ev_per_atom": -0.234, "m_tot_mub_per_cell": 0.000, "lattice": [[-1.5636, 0.7275, -2.7360], [1.5848, -0.0076, -2.8193], [-2.1269, -8.7671, -3.0271]], "species": ["Sc", "Sc", "Al", "Cd"], "fractional_positions": [[0.2460, 0.2460, 0.2620], [0.7540, 0.7540, 0.7380], [0.5000, 0.5000, 0.5000], [0.0000, 0.0000, 0.0000]]}


(4)
{"formula": "Sc2AlCd", "functional": "SCAN", "state": "single point on PBEsol structure", "e_above_lowest_polymorph_ev_per_atom": 0.000, "mass_density_kg_m3": 4800, "total_energy_ev_per_atom": -17.090, "formation_energy_ev_per_atom": -0.430, "m_tot_mub_per_cell": 0.003, "lattice": [[-3.1489, 0.2519, -0.0575], [-0.0680, -1.4867, -2.7869], [-0.6270, -6.9830, 3.7405]], "species": ["Sc", "Sc", "Al", "Cd"], "fractional_positions": [[0.0000, 0.0000, 0.7621], [0.0000, 0.0000, 0.2379], [0.5000, 0.5000, 0.0000], [0.5000, 0.5000, 0.5000]]}


(5)
{"formula": "Sc2AlCd", "functional": "SCAN", "state": "single point on PBEsol structure", "e_above_lowest_polymorph_ev_per_atom": 0.000, "mass_density_kg_m3": 4754, "total_energy_ev_per_atom": -17.090, "formation_energy_ev_per_atom": -0.430, "m_tot_mub_per_cell": 0.030, "lattice": [[3.4053, 0.0000, 0.0000], [0.0000, 4.8506, 0.0000], [0.0000, 0.0000, 4.8492]], "species": ["Sc", "Sc", "Al", "Cd"], "fractional_positions": [[0.0000, 0.0000, 0.1230], [0.0000, 0.5000, 0.6265], [0.5000, 0.0000, 0.6230], [0.5000, 0.5000, 0.1275]]}


(6)
{"formula": "ScAlCd2", "functional": "SCAN", "state": "single point on PBEsol structure", "mass_density_kg_m3": 6351, "total_energy_ev_per_atom": -21.014, "formation_energy_ev_per_atom": -0.310, "m_tot_mub_per_cell": 0.001, "lattice": [[4.2391, 0.0000, 0.0000], [0.0000, 4.2391, 0.0000], [0.0000, 0.0000, 4.3177]], "species": ["Sc", "Al", "Cd", "Cd"], "fractional_positions": [[0.5000, 0.5000, 0.5000], [0.0000, 0.0000, 0.5000], [0.0000, 0.5000, 0.0000], [0.5000, 0.0000, 0.0000]]}